CdIr2Os after structural relaxation, computed with PBE.

Properties
Crystal system   trigonal
Symmetry   R-3m, No. 166
Formation energy   0.17 eV per atom
Volume   62.7 Å³ per cell

Cell: 9.340 9.340 9.340 Å, 17.27 17.27 17.27°
Fractional positions:
Cd  0.750  0.750  0.750
Ir  0.994  0.994  0.994
Ir  0.506  0.506  0.506
Os  0.250  0.250  0.250